Record 1
Material: PuZrAu
Method: DFT, GGA-PBE
State: relaxed

Lattice parameters (Å, degrees): 4.927 4.927 3.095 90.00 90.00 120.00
Atoms (fractional coordinates):
Pu1 0.000 0.000 0.000
Zr1 0.333 0.667 0.313
Au1 0.667 0.333 0.639

Results
As for the space group: P3m1 (156). For the calculated formation energy, the calculation gives -83 meV/atom. Its relative energy among the computed polymorphs is 127 meV per atom. As for the volume: 21.70 Å³ per atom. The density of states at the Fermi level comes out at 2.289 states/eV per atom.

Record 2
Material: DyCoH3
Method: DFT, GGA-PBE
State: relaxed

Lattice parameters (Å, degrees): 3.490 3.490 3.490 90.00 90.00 90.00
Atoms (fractional coordinates):
Dy1 0.000 0.000 0.000
Co1 0.500 0.500 0.500
H1 0.000 0.500 0.500
H2 0.500 0.000 0.500
H3 0.500 0.500 0.000

Results
The energy comes out at -4.823 eV/atom. As for the space group: Pm-3m (221). As for the volume: 8.50 Å³ per atom. The density of states at the Fermi level comes out at 0.274 states/eV per atom.

Record 3
Material: PaBeZn
Method: DFT, GGA-PBE
State: relaxed

Lattice parameters (Å, degrees): 6.151 6.151 6.151 152.70 152.70 39.00
Atoms (fractional coordinates):
Pa1 0.000 0.000 0.000
Be1 0.679 0.679 0.000
Zn1 0.291 0.291 0.000

Results
As for the space group: I4mm (107). For the calculated formation energy, the calculation gives 115 meV/atom. Its relative energy among the computed polymorphs is 42 meV per atom. As for the volume: 16.29 Å³ per atom. The density of states at the Fermi level comes out at 1.063 states/eV per atom.

Record 4
Material: Pm6Sn2TeSe3
Method: DFT, GGA-PBE
State: relaxed

Lattice parameters (Å, degrees): 9.721 9.721 8.725 102.53 102.53 25.89
Atoms (fractional coordinates):
Pm1 0.000 0.000 0.234
Pm2 0.000 0.000 0.766
Pm3 0.329 0.329 0.416
Pm4 0.335 0.335 0.911
Pm5 0.665 0.665 0.089
Pm6 0.671 0.671 0.584
Sn1 0.167 0.167 0.834
Sn2 0.833 0.833 0.166
Te1 0.500 0.500 0.500
Se1 0.165 0.165 0.335
Se2 0.500 0.500 0.000
Se3 0.835 0.835 0.665

Results
As for the space group: C2/m (12). As for the volume: 29.24 Å³ per atom. The density of states at the Fermi level comes out at 0.413 states/eV per atom. For the uncorrected formation energy, the calculation gives -1.4130 eV per atom.

Record 5
Material: Pr5Th3Co12
Method: DFT, GGA-PBE
State: relaxed

Lattice parameters (Å, degrees): 13.673 13.673 13.673 109.47 109.47 109.47
Atoms (fractional coordinates):
Pr1 0.000 0.000 0.000
Pr2 0.000 0.000 0.500
Pr3 0.000 0.500 0.000
Pr4 0.000 0.500 0.500
Pr5 0.125 0.750 0.875
Pr6 0.125 0.875 0.250
Pr7 0.250 0.125 0.875
Pr8 0.250 0.625 0.375
Pr9 0.375 0.250 0.625
Pr10 0.375 0.625 0.750
Pr11 0.500 0.000 0.000
Pr12 0.500 0.000 0.500
Pr13 0.500 0.500 0.000
Pr14 0.500 0.500 0.500
Pr15 0.625 0.375 0.250
Pr16 0.625 0.750 0.375
Pr17 0.750 0.375 0.625
Pr18 0.750 0.875 0.125
Pr19 0.875 0.125 0.750
Pr20 0.875 0.250 0.125
Th1 0.125 0.250 0.375
Th2 0.125 0.375 0.750
Th3 0.250 0.375 0.125
Th4 0.250 0.875 0.625
Th5 0.375 0.125 0.250
Th6 0.375 0.750 0.125
Th7 0.625 0.250 0.875
Th8 0.625 0.875 0.750
Th9 0.750 0.125 0.375
Th10 0.750 0.625 0.875
Th11 0.875 0.625 0.250
Th12 0.875 0.750 0.625
Co1 0.064 0.731 0.631
Co2 0.064 0.833 0.433
Co3 0.067 0.667 0.436
Co4 0.067 0.900 0.631
Co5 0.100 0.231 0.167
Co6 0.100 0.369 0.933
Co7 0.131 0.231 0.564
Co8 0.131 0.400 0.567
Co9 0.167 0.100 0.231
Co10 0.167 0.567 0.936
Co11 0.231 0.167 0.100
Co12 0.231 0.564 0.131
Co13 0.269 0.369 0.936
Co14 0.269 0.400 0.333
Co15 0.333 0.269 0.400
Co16 0.333 0.564 0.933
Co17 0.369 0.933 0.100
Co18 0.369 0.936 0.269
Co19 0.400 0.333 0.269
Co20 0.400 0.567 0.131
Co21 0.433 0.064 0.833
Co22 0.433 0.869 0.600
Co23 0.436 0.067 0.667
Co24 0.436 0.869 0.769
Co25 0.564 0.131 0.231
Co26 0.564 0.933 0.333
Co27 0.567 0.131 0.400
Co28 0.567 0.936 0.167
Co29 0.600 0.433 0.869
Co30 0.600 0.667 0.731
Co31 0.631 0.064 0.731
Co32 0.631 0.067 0.900
Co33 0.667 0.436 0.067
Co34 0.667 0.731 0.600
Co35 0.731 0.600 0.667
Co36 0.731 0.631 0.064
Co37 0.769 0.436 0.869
Co38 0.769 0.833 0.900
Co39 0.833 0.433 0.064
Co40 0.833 0.900 0.769
Co41 0.869 0.600 0.433
Co42 0.869 0.769 0.436
Co43 0.900 0.631 0.067
Co44 0.900 0.769 0.833
Co45 0.933 0.100 0.369
Co46 0.933 0.333 0.564
Co47 0.936 0.167 0.567
Co48 0.936 0.269 0.369

Results
As for the space group: Ia-3d (230). For the calculated formation energy, the calculation gives 511 meV/atom. As for the volume: 24.60 Å³ per atom. The density of states at the Fermi level comes out at 1.949 states/eV per atom.

Record 6
Material: Mg2BeTl
Method: DFT, GGA-PBE
State: relaxed

Lattice parameters (Å, degrees): 4.325 4.325 4.166 90.00 90.00 90.00
Atoms (fractional coordinates):
Mg1 0.000 0.500 0.000
Mg2 0.500 0.000 0.000
Be1 0.000 0.000 0.500
Tl1 0.500 0.500 0.500

Results
As for the space group: P4/mmm (123). For the calculated formation energy, the calculation gives 287 meV/atom. Its relative energy among the computed polymorphs is 71 meV per atom. As for the volume: 19.48 Å³ per atom. The density of states at the Fermi level comes out at 0.258 states/eV per atom.